First-principles (PBE) data for crystalline Nb3SbCl at its relaxed geometry, as listed in Alexandria.

Output
V	136.15	Å³/cell
E	-27.961	eV/f.u.
formation energy (no corrections)	1.644	eV/atom
E above lowest polymorph	1173	meV per atom

a = 5.144 Å, b = 5.144 Å, c = 5.144 Å
α = 90.00°, β = 90.00°, γ = 90.00°
Element x y z (fractional)
Nb 0.000 0.000 0.500
Nb 0.000 0.500 0.000
Nb 0.500 0.000 0.000
Sb 0.000 0.000 0.000
Cl 0.500 0.500 0.500

=====

First-principles (PBE) data for crystalline LiNiSn2 at its relaxed geometry, as listed in Alexandria.

Output
V	76.39	Å³/cell
E	-16.522	eV/f.u.
E_form	-0.821	eV/f.u.

a = 3.250 Å, b = 3.250 Å, c = 7.232 Å
α = 90.00°, β = 90.00°, γ = 90.00°
Element x y z (fractional)
Li 0.000 0.000 0.000
Ni 0.000 0.000 0.500
Sn 0.500 0.500 0.285
Sn 0.500 0.500 0.715

=====

First-principles (PBE) data for crystalline MnSnMoRh at its relaxed geometry, as listed in Alexandria.

Output
V	63.31	Å³/cell
E	-31.701	eV/f.u.
E_form	-0.346	eV/f.u.

a = 4.474 Å, b = 4.474 Å, c = 4.474 Å
α = 60.00°, β = 60.00°, γ = 60.00°
Element x y z (fractional)
Mn 0.000 0.000 0.000
Sn 0.500 0.500 0.500
Mo 0.250 0.250 0.250
Rh 0.750 0.750 0.750

=====

First-principles (PBE) data for crystalline NaTlSb2 at its relaxed geometry, as listed in Alexandria.

Output
V	112.65	Å³/cell
E	-12.463	eV/f.u.
formation energy (no corrections)	-0.133	eV/atom
E above lowest polymorph	16	meV per atom

a = 4.675 Å, b = 4.675 Å, c = 5.155 Å
α = 90.00°, β = 90.00°, γ = 90.00°
Element x y z (fractional)
Na 0.000 0.000 0.000
Tl 0.500 0.500 0.000
Sb 0.000 0.500 0.500
Sb 0.500 0.000 0.500

=====

First-principles (PBE) data for crystalline TaTi2AlCu at its relaxed geometry, as listed in Alexandria.

Output
V	90.74	Å³/cell
E	-32.429	eV/f.u.
E_form	3.052	eV/f.u.

a = 4.593 Å, b = 4.593 Å, c = 4.301 Å
α = 90.00°, β = 90.00°, γ = 90.00°
Element x y z (fractional)
Ta 0.000 0.000 0.000
Ti 0.000 0.500 0.500
Ti 0.500 0.000 0.500
Al 0.500 0.500 0.000
Cu 0.500 0.500 0.500

=====

First-principles (PBE) data for crystalline TbHoPa at its relaxed geometry, as listed in Alexandria.

Output
V	86.51	Å³/cell
E	-18.342	eV/f.u.
E_form	0.362	eV/f.u.
E above lowest polymorph	0	meV per atom

a = 3.422 Å, b = 3.422 Å, c = 8.529 Å
α = 90.00°, β = 90.00°, γ = 120.00°
Element x y z (fractional)
Tb 0.000 0.000 0.000
Ho 0.333 0.667 0.640
Pa 0.667 0.333 0.321

=====

Look up the V of the second one. 76.39 Å³/cell

=====

Please write out number 4 again, unchanged.
First-principles (PBE) data for crystalline NaTlSb2 at its relaxed geometry, as listed in Alexandria.

Output
V	112.65	Å³/cell
E	-12.463	eV/f.u.
formation energy (no corrections)	-0.133	eV/atom
E above lowest polymorph	16	meV per atom

a = 4.675 Å, b = 4.675 Å, c = 5.155 Å
α = 90.00°, β = 90.00°, γ = 90.00°
Element x y z (fractional)
Na 0.000 0.000 0.000
Tl 0.500 0.500 0.000
Sb 0.000 0.500 0.500
Sb 0.500 0.000 0.500